Entry 1:
Material: LiAg5F12
Method: DFT, SCAN
State: PBEsol geometry

## Properties
ΔE_f (raw)	-1.4080	eV per atom
DFT total energy	-12.614	eV/atom

Cell lengths 4.863, 4.863, 10.360 Å; angles 90.00, 90.00, 90.23 degrees
Last column: magnetic moment on the atom in μB.
Atoms (fractional coordinates):
Li 0.000 0.000 0.000  0.00
Ag 0.000 0.000 0.326  -0.55
Ag 0.000 0.000 0.674  -0.55
Ag 0.500 0.500 0.158  0.50
Ag 0.500 0.500 0.500  0.48
Ag 0.500 0.500 0.842  0.50
F 0.196 0.196 0.500  0.03
F 0.206 0.206 0.167  0.03
F 0.206 0.206 0.833  0.03
F 0.713 0.287 0.000  0.10
F 0.699 0.301 0.333  -0.04
F 0.699 0.301 0.667  -0.04
F 0.301 0.699 0.333  -0.04
F 0.301 0.699 0.667  -0.04
F 0.287 0.713 0.000  0.10
F 0.794 0.794 0.167  0.03
F 0.794 0.794 0.833  0.03
F 0.804 0.804 0.500  0.03

Entry 2:
Material: B2SbHPd
Method: DFT, SCAN
State: PBEsol geometry

## Properties
DFT total energy	-16.202	eV/atom

Cell lengths 3.798, 3.798, 4.065 Å; angles 90.00, 90.00, 90.00 degrees
Atoms (fractional coordinates):
Sb 0.000 0.000 0.500
B 0.000 0.500 0.000
B 0.500 0.000 0.000
Pd 0.500 0.500 0.500
H 0.000 0.000 0.000

Entry 3:
Material: MgSe2N2
Method: DFT, SCAN
State: PBEsol geometry

## Properties
ΔE_f (raw)	0.9710	eV per atom
DFT total energy	-11.772	eV/atom

Cell lengths 3.721, 3.721, 5.792 Å; angles 90.00, 90.00, 90.00 degrees
Atoms (fractional coordinates):
Mg 0.500 0.500 0.500
Se 0.000 0.000 0.000
Se 0.000 0.000 0.500
N 0.000 0.500 0.000
N 0.500 0.000 0.000